Entry 1:
Compound: LiMgZn
Source: the Alexandria database
Functional: SCAN
Structure: single point on PBEsol structure

```
3
Lattice="-0.168 1.896 -2.535 2.643 -1.573 -1.351 -4.113 -3.203 -0.141" Properties=species:S:1:pos:R:3 pbc="T T T"
Mg 0.254 -0.879 -2.656
Zn -1.982 -2.097 -1.437
Li -1.547 -2.783 -3.961
```

Summary:
- formation energy (eV/f.u.) = -0.465
- E (eV/atom) = -7.115
- space-group type = Imm2 (44)
- polymorph energy (0 for the lowest one) (meV per atom) = 0


Entry 2:
Compound: AsOsCl2
Source: the Alexandria database
Functional: SCAN
Structure: single point on PBEsol structure

```
4
Lattice="-0.093 -2.827 -1.678 2.007 -0.456 -2.565 6.389 -4.292 3.653" Properties=species:S:1:pos:R:3 pbc="T T T"
As 2.307 -2.022 0.056
Os 3.963 -3.683 -0.461
Cl 5.823 -5.456 -0.799
Cl 2.275 -3.484 -3.925
```

Summary:
- formation energy (no corrections) (eV/atom) = 0.1241
- E (eV/atom) = -26.882
- space-group type = R3m (160)
- polymorph energy (0 for the lowest one) (meV per atom) = 0


Entry 3:
Compound: Li2ZrPb
Source: the Alexandria database
Functional: SCAN
Structure: single point on PBEsol structure

```
4
Lattice="-1.753 2.431 -1.003 -2.571 -1.839 0.035 -1.386 2.080 7.464" Properties=species:S:1:pos:R:3 pbc="T T T"
Pb -2.162 0.296 -0.484
Zr -2.855 1.336 3.248
Li -0.315 0.473 1.698
Li -1.071 1.607 5.766
```

Summary:
- formation energy (eV/f.u.) = 0.073
- E (eV/atom) = -27.797
- space-group type = P4/mmm (123)


Entry 4:
Compound: Ca2FeTeC
Source: the Alexandria database
Functional: SCAN
Structure: single point on PBEsol structure

```
5
Lattice="-2.465 -3.671 1.277 3.334 -0.624 4.643 -3.530 3.412 2.994" Properties=species:S:1:pos:R:3 pbc="T T T"
Ca -1.765 1.706 1.497
Ca 1.667 -0.312 2.321
C -1.330 -0.441 4.457
Fe -1.232 -1.835 0.638
Te 0.000 0.000 0.000
```

Summary:
- formation energy (no corrections) (eV/atom) = 1.1491
- E (eV/atom) = -15.812
- space-group type = P4/mmm (123)


Entry 5:
Compound: CsTl3B
Source: the Alexandria database
Functional: SCAN
Structure: single point on PBEsol structure

```
5
Lattice="-1.118 -5.539 -2.960 3.168 -3.093 4.592 -5.423 -0.665 3.294" Properties=species:S:1:pos:R:3 pbc="T T T"
B -1.686 -4.649 2.463
Tl -0.559 -2.770 -1.480
Tl -2.711 -0.333 1.647
Tl 1.584 -1.547 2.296
Cs 0.000 0.000 0.000
```

Summary:
- formation energy (eV/f.u.) = 9.441
- E (eV/atom) = -50.575
- space-group type = Pm-3m (221)


Entry 6:
Compound: CoMo2Ir
Source: the Alexandria database
Functional: SCAN
Structure: single point on PBEsol structure

```
4
Lattice="3.771 0.000 0.000 0.000 3.771 0.000 -1.886 -1.886 3.811" Properties=species:S:1:pos:R:3 pbc="T T T"
Mo 1.886 0.000 1.905
Mo 0.000 1.886 1.905
Ir 1.886 1.886 0.000
Co 0.000 0.000 0.000
```

Summary:
- formation energy (eV/f.u.) = -0.477
- E (eV/atom) = -39.663
- space-group type = I4/mmm (139)
- polymorph energy (0 for the lowest one) (meV per atom) = 0


Entry 7:
Compound: MnH2SO5
Source: the Alexandria database
Functional: SCAN
Structure: single point on PBEsol structure

```
18
Lattice="5.241 -0.034 -0.013 -0.856 5.171 -0.013 -2.140 -2.507 7.011" Properties=species:S:1:pos:R:3 pbc="T T T"
S 0.074 1.126 5.245
S 2.171 1.503 1.740
O 3.199 1.420 0.688
O 2.192 2.884 2.329
O -0.955 1.209 6.297
O 0.053 -0.254 4.656
O 0.811 1.266 1.150
O -0.714 3.966 1.740
O -0.170 2.129 4.193
O 1.434 1.364 5.835
O 2.414 0.501 2.792
O 2.958 -1.336 5.245
Mn -0.428 2.585 -0.007
Mn 1.551 -1.271 3.499
H 0.211 -0.234 1.478
H 2.034 2.864 5.507
H -1.334 -1.082 4.983
H 3.579 3.712 2.002
```

Summary:
- E (eV/atom) = -8.924
- space-group type = C2/c (15)


Entry 8:
Compound: PrGaGe2O7
Source: the Alexandria database
Functional: SCAN
Structure: single point on PBEsol structure

```
44
Lattice="-5.060 -3.655 2.203 4.362 -5.784 0.424 3.447 1.771 10.855" Properties=species:S:1:pos:R:3 pbc="T T T"
O -0.534 -7.123 4.354
O 4.815 -2.919 7.226
O 3.854 -5.298 11.017
O -0.213 -4.278 4.558
O 2.280 -7.303 10.811
O 2.961 -3.390 8.924
O 0.681 -5.593 2.211
O -2.249 -2.135 4.953
O -2.154 -5.316 2.878
O 2.743 0.005 6.329
O 6.545 -4.275 11.398
O 2.630 -6.687 8.134
O -2.067 -4.749 6.256
O -1.106 -2.369 2.465
O 2.067 -2.075 11.271
O 4.997 -5.533 8.529
O 1.016 -4.603 10.871
O -3.797 -3.392 2.083
O 0.878 -4.842 7.387
O 2.477 -5.234 4.461
O 0.271 -2.433 9.020
O 0.005 -7.672 7.152
O 1.733 -3.064 2.611
O 3.283 -0.544 9.127
O 1.870 -2.826 6.095
O 0.119 -0.980 5.347
O 4.903 -2.351 10.603
O 0.468 -0.364 2.670
Ge -2.118 -3.731 2.040
Ge 4.866 -3.936 11.441
Ge 0.376 -8.166 5.446
Ge 1.553 -3.207 9.950
Ge 0.859 -6.407 8.083
Ge 1.196 -4.460 3.532
Ge 2.372 0.498 8.036
Ge 1.889 -1.260 5.398
Pr -0.495 -3.028 6.700
Pr 3.243 -4.639 6.781
Pr 2.363 -5.790 12.795
Pr 0.385 -1.877 0.687
Ga -1.648 -5.666 4.702
Ga -1.020 -1.087 3.798
Ga 4.396 -2.001 8.779
Ga 3.768 -6.581 9.683
```

Summary:
- formation energy (no corrections) (eV/atom) = -2.3597
- E (eV/atom) = -15.220
- space-group type = P2_1/c (14)


Entry 9:
Compound: Li2Ti7O15
Source: the Alexandria database
Functional: SCAN
Structure: single point on PBEsol structure

```
24
Lattice="-0.903 -0.264 2.802 -3.337 -7.752 -3.365 8.545 -3.138 2.458" Properties=species:S:1:pos:R:3 pbc="T T T"
O 2.298 -7.829 0.003
O 2.606 -10.279 1.430
O 6.391 -6.069 1.487
O 0.946 -5.623 1.334
O -0.482 -7.264 -0.840
O 4.122 -7.625 2.169
O 4.787 -3.890 2.735
O 1.700 -0.876 0.465
O 4.273 -1.569 1.229
O 5.248 -9.841 0.764
O -2.086 -5.086 0.408
O -0.943 -1.314 1.132
O 2.007 -3.326 1.892
O 3.360 -5.531 0.561
O 0.183 -3.529 -0.274
Ti 2.003 -4.230 0.247
Ti 5.164 -2.267 3.009
Ti 2.303 -6.925 1.648
Ti 0.000 0.000 0.000
Ti 5.685 -7.976 1.080
Ti -1.380 -3.178 0.815
Ti -0.858 -8.888 -1.114
Li -0.693 -6.349 0.738
Li 4.998 -4.806 1.158
```

Summary:
- formation energy (no corrections) (eV/atom) = -3.1519
- E (eV/atom) = -11.921
- space-group type = C2/m (12)


Entry 10:
Compound: ZrPIrS2
Source: the Alexandria database
Functional: SCAN
Structure: single point on PBEsol structure

```
5
Lattice="4.448 0.000 0.000 0.000 4.611 0.000 0.000 0.000 4.611" Properties=species:S:1:pos:R:3 pbc="T T T"
Ir 0.000 0.000 0.000
S 0.000 2.305 0.000
S 0.000 0.000 2.305
P 2.224 0.000 0.000
Zr 2.224 2.305 2.305
```

Summary:
- formation energy (no corrections) (eV/atom) = 0.1614
- E (eV/atom) = -26.129
- space-group type = P4/mmm (123)


Entry 11:
Compound: AsPtBr
Source: the Alexandria database
Functional: SCAN
Structure: single point on PBEsol structure

```
3
Lattice="-0.836 4.402 0.326 -4.166 1.550 -0.655 -2.379 1.584 3.467" Properties=species:S:1:pos:R:3 pbc="T T T"
As -1.845 1.884 0.784
Br 0.000 0.000 0.000
Pt -3.690 3.768 1.569
```

Summary:
- formation energy (no corrections) (eV/atom) = 0.6443
- E (eV/atom) = -35.970
- space-group type = F-43m (216)
- polymorph energy (0 for the lowest one) (meV per atom) = 1033


Entry 12:
Compound: InCoPb3
Source: the Alexandria database
Functional: SCAN
Structure: single point on PBEsol structure

```
5
Lattice="5.054 0.000 0.000 0.000 5.054 0.000 0.000 0.000 5.054" Properties=species:S:1:pos:R:3 pbc="T T T"
Co 0.000 0.000 0.000
In 2.527 2.527 2.527
Pb 0.000 0.000 2.527
Pb 2.527 0.000 0.000
Pb 0.000 2.527 0.000
```

Summary:
- formation energy (eV/f.u.) = 1.227
- E (eV/atom) = -55.361
- space-group type = Pm-3m (221)


Entry 13:
Compound: NbFeAsRu2
Source: the Alexandria database
Functional: SCAN
Structure: single point on PBEsol structure

```
5
Lattice="-0.487 2.241 3.533 2.993 -2.539 2.023 3.206 2.744 -1.299" Properties=species:S:1:pos:R:3 pbc="T T T"
Nb 2.856 1.223 2.129
Ru 1.603 1.372 -0.649
Ru 1.496 -1.269 1.012
Fe -0.244 1.121 1.766
As 0.000 0.000 0.000
```

Summary:
- formation energy (eV/f.u.) = 3.630
- E (eV/atom) = -27.494
- space-group type = P4/mmm (123)


Entry 14:
Compound: MgCd2Ag
Source: the Alexandria database
Functional: SCAN
Structure: single point on PBEsol structure

```
4
Lattice="4.754 0.000 0.000 2.377 4.117 0.000 2.377 1.372 3.882" Properties=species:S:1:pos:R:3 pbc="T T T"
Cd 7.131 4.117 2.911
Cd 2.377 1.372 0.970
Ag 0.000 0.000 0.000
Mg 4.754 2.745 1.941
```

Summary:
- formation energy (eV/f.u.) = -0.383
- E (eV/atom) = -24.388
- space-group type = Fm-3m (225)
- polymorph energy (0 for the lowest one) (meV per atom) = 32


Entry 15:
Compound: KYCd2
Source: the Alexandria database
Functional: SCAN
Structure: single point on PBEsol structure

```
4
Lattice="3.748 0.000 0.022 0.000 3.747 0.000 -0.052 0.000 8.368" Properties=species:S:1:pos:R:3 pbc="T T T"
Cd -0.036 0.000 5.878
Cd 3.731 0.000 2.512
Y 1.848 1.873 4.195
K 1.874 1.873 0.011
```

Summary:
- formation energy (eV/f.u.) = -0.788
- E (eV/atom) = -24.447
- space-group type = P4/mmm (123)
- polymorph energy (0 for the lowest one) (meV per atom) = 0


Entry 16:
Compound: TiInCu2Si
Source: the Alexandria database
Functional: SCAN
Structure: single point on PBEsol structure

```
5
Lattice="-2.032 3.193 2.084 -2.889 -2.831 1.521 2.703 -0.736 3.763" Properties=species:S:1:pos:R:3 pbc="T T T"
Cu -1.444 -1.415 0.761
Cu -1.016 1.597 1.042
In -1.109 -0.187 3.684
Ti 1.352 -0.368 1.882
Si 0.000 0.000 0.000
```

Summary:
- formation energy (no corrections) (eV/atom) = 0.2128
- E (eV/atom) = -17.753
- space-group type = P4/mmm (123)


Entry 17:
Compound: Zr2CdW
Source: the Alexandria database
Functional: SCAN
Structure: single point on PBEsol structure

```
4
Lattice="-1.888 0.048 2.198 -0.880 -2.483 1.209 7.122 -0.302 8.037" Properties=species:S:1:pos:R:3 pbc="T T T"
Zr 3.307 -2.050 8.618
Zr 1.047 -0.687 2.826
Cd 2.177 -1.369 5.722
W 0.000 0.000 0.000
```

Summary:
- formation energy (eV/f.u.) = 1.131
- E (eV/atom) = -40.092
- space-group type = R-3m (166)


Entry 18:
Compound: SrCa2BiSb
Source: the Alexandria database
Functional: SCAN
Structure: single point on PBEsol structure

```
5
Lattice="-0.135 5.066 -2.797 -5.573 0.640 1.427 1.649 2.885 5.146" Properties=species:S:1:pos:R:3 pbc="T T T"
Bi 0.000 0.000 0.000
Ca -2.786 0.320 0.714
Ca -0.067 2.533 -1.398
Sr 0.825 1.443 2.573
Sb -2.029 4.295 1.888
```

Summary:
- formation energy (no corrections) (eV/atom) = -0.5348
- E (eV/atom) = -32.023
- space-group type = P4/mmm (123)


Entry 19:
Compound: ZrScMo4
Source: the Alexandria database
Functional: SCAN
Structure: single point on PBEsol structure

```
6
Lattice="5.310 0.000 0.000 2.655 4.598 0.000 2.655 1.533 4.335" Properties=species:S:1:pos:R:3 pbc="T T T"
Sc 7.964 4.598 3.251
Mo 3.984 2.300 1.626
Mo 5.310 4.596 1.626
Mo 5.310 3.065 3.791
Mo 6.635 2.300 1.626
Zr 0.000 0.000 0.000
```

Summary:
- formation energy (eV/f.u.) = -0.524
- E (eV/atom) = -30.833
- space-group type = F-43m (216)


Entry 20:
Compound: Fe3C
Source: the Alexandria database
Functional: SCAN
Structure: single point on PBEsol structure

```
16
Lattice="4.373 0.000 0.000 0.000 4.937 0.000 0.000 0.000 6.670" Properties=species:S:1:pos:R:3 pbc="T T T"
Fe 0.705 0.180 5.002
Fe 2.919 0.885 6.216
Fe 3.641 3.353 6.216
Fe 3.641 3.353 3.788
Fe 1.454 4.052 2.881
Fe 1.454 4.052 0.453
Fe 2.892 2.289 1.667
Fe 0.733 1.584 0.453
Fe 3.668 4.758 1.667
Fe 1.482 2.648 5.002
Fe 0.733 1.584 2.881
Fe 2.919 0.885 3.788
C 4.081 1.878 5.002
C 0.292 3.060 1.667
C 2.479 4.346 5.002
C 1.895 0.591 1.667
```

Summary:
- formation energy (eV/f.u.) = 0.423
- E (eV/atom) = -16.016
- space-group type = Pnma (62)


Entry 21:
Compound: ScRe2Ag
Source: the Alexandria database
Functional: SCAN
Structure: single point on PBEsol structure

```
4
Lattice="-0.702 -3.726 -0.248 3.038 -0.423 -2.244 1.388 1.354 4.841" Properties=species:S:1:pos:R:3 pbc="T T T"
Sc 1.168 -2.075 -1.246
Re 2.796 -0.572 0.676
Re 0.926 -2.224 1.674
Ag 0.000 0.000 0.000
```

Summary:
- formation energy (eV/f.u.) = 1.264
- E (eV/atom) = -46.634
- space-group type = I4/mmm (139)
- polymorph energy (0 for the lowest one) (meV per atom) = 0


Entry 22:
Compound: AsPdF2
Source: the Alexandria database
Functional: SCAN
Structure: single point on PBEsol structure

```
4
Lattice="2.800 0.000 0.000 1.400 2.425 0.000 1.400 0.808 7.905" Properties=species:S:1:pos:R:3 pbc="T T T"
F 1.400 0.808 5.970
F 4.199 2.425 1.935
As 0.000 0.000 0.000
Pd 2.800 1.616 3.952
```

Summary:
- formation energy (no corrections) (eV/atom) = -0.8549
- E (eV/atom) = -15.866
- space-group type = R-3m (166)


Entry 23:
Compound: TePSCl2
Source: the Alexandria database
Functional: SCAN
Structure: single point on PBEsol structure

```
5
Lattice="4.596 0.000 0.000 0.000 4.596 0.000 0.000 0.000 4.946" Properties=species:S:1:pos:R:3 pbc="T T T"
Cl 0.000 2.298 0.000
Cl 2.298 0.000 0.000
S 0.000 0.000 0.000
P 0.000 0.000 2.473
Te 2.298 2.298 2.473
```

Summary:
- formation energy (no corrections) (eV/atom) = 0.5571
- E (eV/atom) = -14.090
- space-group type = P4/mmm (123)


Entry 24:
Compound: MgCrSi2
Source: the Alexandria database
Functional: SCAN
Structure: single point on PBEsol structure

```
4
Lattice="2.661 0.026 0.000 -0.550 2.604 0.000 0.000 0.000 8.102" Properties=species:S:1:pos:R:3 pbc="T T T"
Cr 0.000 0.000 4.247
Si 0.000 0.000 7.954
Si 1.056 1.315 5.923
Mg 1.056 1.315 2.131
```

Summary:
- formation energy (no corrections) (eV/atom) = 0.4008
- E (eV/atom) = -10.447
- space-group type = Cmm2 (35)


Entry 25:
Compound: Na3TeS
Source: the Alexandria database
Functional: SCAN
Structure: single point on PBEsol structure

```
5
Lattice="-1.075 3.944 -3.241 -5.009 -0.175 1.449 0.986 3.411 3.822" Properties=species:S:1:pos:R:3 pbc="T T T"
Na -0.538 1.972 -1.621
Na 0.493 1.705 1.911
Na -2.504 -0.088 0.724
S 0.000 0.000 0.000
Te -2.549 3.590 1.015
```

Summary:
- formation energy (no corrections) (eV/atom) = -0.8565
- E (eV/atom) = -12.761
- space-group type = Pm-3m (221)